No. 1
Nb2RuPt3 | PBE | relaxed

Results
Offset from the most stable computed form = 0.00 eV per formula unit
Calculated formation energy = -0.435 eV/atom
Mass density = 14.922 g cm⁻³

```
data_Nb2RuPt3
_cell_length_a 11.984
_cell_length_b 3.911
_cell_length_c 9.210
_cell_angle_alpha 90.00
_cell_angle_beta 115.92
_cell_angle_gamma 90.00
_space_group_name_H-M_alt 'C 1 2/m 1'
_space_group_IT_number 12
loop_
_space_group_symop_operation_xyz
'x,y,z'
'-x,-y,-z'
'-x,y,-z'
'x,-y,z'
'x+1/2,y+1/2,z'
'-x+1/2,-y+1/2,-z'
'-x+1/2,y+1/2,-z'
'x+1/2,-y+1/2,z'
loop_
_atom_site_label
_atom_site_type_symbol
_atom_site_fract_x
_atom_site_fract_y
_atom_site_fract_z
Nb1 Nb 0.027 0.000 0.361
Nb2 Nb 0.216 0.500 0.365
Ru1 Ru 0.124 0.500 0.628
Pt1 Pt 0.035 0.500 0.864
Pt2 Pt 0.129 0.000 0.136
Pt3 Pt 0.207 0.000 0.876
```


No. 2
AsIrWSe2 | PBE | relaxed

Results
Offset from the most stable computed form = 0.00 eV per formula unit
Energy relative to the elements, uncorrected = 27.487 kcal/mol of atoms
Mass density = 8.982 g cm⁻³

```
data_AsIrWSe2
_cell_length_a 4.798
_cell_length_b 4.798
_cell_length_c 4.889
_cell_angle_alpha 90.00
_cell_angle_beta 90.00
_cell_angle_gamma 90.00
_space_group_name_H-M_alt 'P 4/m m m'
_space_group_IT_number 123
_space_group_name_Hall '-P 4 2'
loop_
_atom_site_label
_atom_site_type_symbol
_atom_site_fract_x
_atom_site_fract_y
_atom_site_fract_z
As1 As 0.000 0.000 0.000
Ir1 Ir 0.500 0.500 0.000
W1 W 0.000 0.000 0.500
Se1 Se 0.000 0.500 0.500
```